# 1
Sm2EuPu | PBE-GGA | optimized geometry

Results
E_form	0.14	eV/atom
mass density	8.6	Mg/m³
E_tot	-8.37	eV/atom
density of states at the Fermi level	8.74	states/eV per cell

Cell: 3.574 3.574 10.491 Å, 90.00 90.00 90.00°
Space group P4/mmm (No. 123)
Symmetry-distinct sites (fractional):
Sm 0.000 0.000 0.227 [2 per cell]
Eu 0.500 0.500 0.500 [1 per cell]
Pu 0.500 0.500 0.000 [1 per cell]



# 2
SmEuPu | PBE-GGA | optimized geometry

Results
E_form	0.20	eV/atom
mass density	9.1	Mg/m³
E_tot	-9.58	eV/atom
density of states at the Fermi level	19.62	states/eV per cell

Cell: 3.555 3.555 15.695 Å, 90.00 90.00 90.00°
Space group I4mm (No. 107)
Symmetry-distinct sites (fractional):
Sm 0.000 0.000 0.000 [2 per cell]
Eu 0.000 0.000 0.675 [2 per cell]
Pu 0.000 0.000 0.347 [2 per cell]



# 3
Sm2EuPu | PBE-GGA | optimized geometry

Results
E_form	0.21	eV/atom
mass density	8.7	Mg/m³
E_tot	-8.30	eV/atom
density of states at the Fermi level	14.53	states/eV per cell

Cell: 5.126 5.126 5.076 Å, 90.00 90.00 90.00°
Space group P4/mmm (No. 123)
Symmetry-distinct sites (fractional):
Sm 0.000 0.500 0.000 [2 per cell]
Eu 0.000 0.000 0.500 [1 per cell]
Pu 0.500 0.500 0.500 [1 per cell]



# 4
SmEuPu | PBE-GGA | optimized geometry

Results
E_form	0.28	eV/atom
mass density	9.1	Mg/m³
E_tot	-9.49	eV/atom
density of states at the Fermi level	10.18	states/eV per cell

Cell: 5.8318 5.8318 3.3960 Å, 90.00 90.00 120.00°
Space group P3m1 (No. 156)
Symmetry-distinct sites (fractional):
Sm 0.0000 0.0000 0.0000 [1 per cell]
Eu 0.3333 0.6667 0.7134 [1 per cell]
Pu 0.6667 0.3333 0.4038 [1 per cell]



# 5
EuPuSn2 | PBE-GGA | optimized geometry

Results
E_form	-0.43	eV/atom
mass density	9.4	Mg/m³
E_tot	-8.59	eV/atom
density of states at the Fermi level	12.56	states/eV per cell

Cell: 5.004 5.004 4.477 Å, 90.00 90.00 90.00°
Space group P4/mmm (No. 123)
Symmetry-distinct sites (fractional):
Eu 0.000 0.000 0.000 [1 per cell]
Pu 0.500 0.500 0.000 [1 per cell]
Sn 0.000 0.500 0.500 [2 per cell]



# 6
EuPuSn2 | PBE-GGA | optimized geometry

Results
E_form	-0.28	eV/atom
mass density	8.8	Mg/m³
E_tot	-8.43	eV/atom
density of states at the Fermi level	34.89	states/eV per cell

Cell: 3.6565 3.6565 30.8538 Å, 90.00 90.00 120.00°
Space group R-3m (No. 166, hexagonal axes)
Symmetry-distinct sites (fractional):
Eu 0.0000 0.0000 0.0000 [3 per cell]
Pu 0.0000 0.0000 0.5000 [3 per cell]
Sn 0.0000 0.0000 0.2488 [6 per cell]



# 7
EuPuSn | PBE-GGA | optimized geometry

Results
E_form	-0.19	eV/atom
mass density	9.9	Mg/m³
E_tot	-9.73	eV/atom
density of states at the Fermi level	21.27	states/eV per cell

Cell: 4.111 4.111 10.228 Å, 90.00 90.00 90.00°
Space group I4mm (No. 107)
Symmetry-distinct sites (fractional):
Eu 0.000 0.000 0.000 [2 per cell]
Pu 0.000 0.000 0.307 [2 per cell]
Sn 0.000 0.000 0.656 [2 per cell]



# 8
Eu2PuSn | PBE-GGA | optimized geometry

Results
E_form	-0.17	eV/atom
mass density	9.1	Mg/m³
E_tot	-9.89	eV/atom
density of states at the Fermi level	19.97	states/eV per cell

Cell: 4.916 4.916 5.029 Å, 90.00 90.00 90.00°
Space group P4/mmm (No. 123)
Symmetry-distinct sites (fractional):
Eu 0.000 0.500 0.000 [2 per cell]
Pu 0.000 0.000 0.500 [1 per cell]
Sn 0.500 0.500 0.500 [1 per cell]



Q: Among the records above, which one has the lowest E_form?
A: number 5



Q: Which formula does entry 5 have?
A: EuPuSn2



Q: Which value of density of states at the Fermi level does entry 4 give?
A: 10.18 states/eV per cell



Q: E_tot of number 5 (EuPuSn2)?
A: -8.59 eV/atom